Computed, not measured: an optimized crystal structure of YIn2Ru2 at the PBE-GGA level of DFT.

Cell and atoms, written as POSCAR:
```
YIn2Ru2
1.0
-0.703 -5.003 -5.675
1.822 -5.643 4.749
-3.263 -0.410 0.765
In Y Ru
4 2 4
Direct
0.350 0.150 0.500
0.850 0.350 0.500
0.650 0.850 0.500
0.150 0.650 0.500
0.500 0.500 0.000
0.000 0.000 0.000
0.645 0.145 0.000
0.855 0.645 0.000
0.355 0.855 0.000
0.145 0.355 0.000
```

**ΔH_f (0 K)**: -0.1418 eV/atom
**Energy above the lowest structure with this stoichiometry**: 0.000 eV/atom
**Magnetization**: 0.000 μB/atom



Computed, not measured: an optimized crystal structure of Pr2Ge3Ir4Pd at the PBE-GGA level of DFT.

Cell and atoms, written as POSCAR:
```
Pr2Ge3Ir4Pd
1.0
-2.293 -1.293 -3.295
3.499 -0.229 -2.345
1.362 -10.111 3.021
Ge Pr Ir Pd
3 2 4 1
Direct
0.500 0.000 0.873
0.000 0.500 0.127
0.000 0.000 0.500
0.500 0.000 0.249
0.000 0.500 0.751
0.000 0.500 0.356
0.500 0.500 0.000
0.000 0.000 0.000
0.500 0.000 0.644
0.500 0.500 0.500
```

**ΔH_f (0 K)**: -0.6721 eV/atom
**Magnetization**: 0.000 μB/atom



Computed, not measured: an optimized crystal structure of YBiOF2 at the PBE-GGA level of DFT.

Cell and atoms, written as POSCAR:
```
YBiOF2
1.0
-4.112 -0.611 1.582
1.196 -3.986 1.571
1.218 1.903 3.900
F O Bi Y
2 1 1 1
Direct
0.500 0.000 0.000
0.000 0.500 0.000
0.000 0.000 0.500
0.500 0.500 0.500
0.000 0.000 0.000
```

**E_form (uncorrected)**: -1151 kJ/mol of formula units
**Energy above the lowest structure with this stoichiometry**: 0.000 eV/atom
**Magnetization**: 0.000 μB/atom



Computed, not measured: an optimized crystal structure of Nb2SbH at the PBE-GGA level of DFT.

Cell and atoms, written as POSCAR:
```
Nb2SbH
1.0
3.326 0.000 0.000
1.663 2.881 0.000
1.663 0.960 6.547
Nb Sb H
2 1 1
Direct
0.282 0.282 0.155
0.718 0.718 0.845
0.500 0.500 0.500
0.000 0.000 0.000
```

**Energy above the lowest structure with this stoichiometry**: 0.000 eV/atom
**Magnetization**: 0.000 μB/atom



What are the raw total energy values for these records? In order: -6.2403 -7.0769 -6.1942 -6.9331 eV per atom.